The following is a DFT calculation (PBE) of crystalline CaGaH5 at its relaxed geometry.

Computed properties:
The density of states at the Fermi level comes out at 0.00 states/eV/f.u. As for the offset from the most stable computed form: 0 meV per atom. The magnetization comes out at 0.00 μB per formula unit. For the total DFT energy (no corrections), the calculation gives -0.24372 Ry/atom. Its space group is P2_1 (4).

abc: 4.283 6.488 6.638
angles: 77.03 90.00 90.00
Element x y z (fractional)
1 H 0.570 0.349 0.990
2 H 0.070 0.651 0.010
3 H 0.961 0.479 0.691
4 H 0.948 0.081 0.880
5 H 0.975 0.754 0.355
6 H 0.475 0.246 0.645
7 H 0.461 0.521 0.309
8 H 0.003 0.131 0.423
9 H 0.448 0.919 0.120
10 H 0.503 0.869 0.577
11 Ga 0.741 0.288 0.797
12 Ga 0.241 0.712 0.203
13 Ca 0.504 0.170 0.323
14 Ca 0.004 0.830 0.677


The following is a DFT calculation (PBE) of crystalline AgPOs2 at its relaxed geometry.

Computed properties:
As for the energy of formation from the pure elements: 879 meV/atom. The density of states at the Fermi level comes out at 4.63 states/eV/f.u. The magnetization comes out at 0.10 μB per formula unit. For the total DFT energy (no corrections), the calculation gives -0.49987 Ry/atom. Its space group is Pmmm (47).

abc: 2.808 4.693 4.594
angles: 90.00 90.00 90.00
Each line ends with the local moment (μB).
Element x y z (fractional)
1 P 0.500 0.000 0.500  0.00
2 Os 0.500 0.500 0.000  0.04
3 Os 0.000 0.000 0.000  0.05
4 Ag 0.000 0.500 0.500  0.00


The following is a DFT calculation (PBE) of crystalline NaNi2C2 at its relaxed geometry.

Computed properties:
As for the energy of formation from the pure elements: 821 meV/atom. The density of states at the Fermi level comes out at 3.12 states/eV/f.u. The magnetization comes out at 0.00 μB per formula unit. For the total DFT energy (no corrections), the calculation gives -0.40017 Ry/atom. Its space group is I4/mmm (139).

abc: 3.582 3.582 5.011
angles: 69.06 69.06 90.00
Element x y z (fractional)
1 C 0.750 0.250 0.500
2 C 0.250 0.750 0.500
3 Ni 0.337 0.337 0.327
4 Ni 0.663 0.663 0.673
5 Na 0.000 0.000 0.000


The following is a DFT calculation (PBE) of crystalline KNpAuSe2 at its relaxed geometry.

Computed properties:
For the energy relative to the elements, uncorrected, the calculation gives -3.6 eV/f.u. The density of states at the Fermi level comes out at 11.23 states/eV/f.u. The magnetization comes out at 4.79 μB per formula unit. For the total DFT energy (no corrections), the calculation gives -0.40998 Ry/atom. Its space group is P2/c (13).

abc: 5.207 7.811 7.759
angles: 101.45 90.00 90.00
Each line ends with the local moment (μB).
Element x y z (fractional)
1 Au 0.000 0.000 0.500  0.10
2 Au 0.000 0.000 0.000  0.10
3 Se 0.316 0.253 0.046  -0.02
4 Se 0.684 0.253 0.546  -0.02
5 Se 0.316 0.747 0.454  -0.02
6 Se 0.684 0.747 0.954  -0.02
7 Np 0.509 0.000 0.750  4.20
8 Np 0.491 0.000 0.250  4.20
9 K 0.169 0.500 0.750  0.00
10 K 0.831 0.500 0.250  0.00


The following is a DFT calculation (PBE) of crystalline Zr2TiSe6 at its relaxed geometry.

Computed properties:
For the energy relative to the elements, uncorrected, the calculation gives -11.2 eV/f.u. The density of states at the Fermi level comes out at 0.97 states/eV/f.u. As for the offset from the most stable computed form: 0 meV per atom. The magnetization comes out at 0.00 μB per formula unit. For the total DFT energy (no corrections), the calculation gives -0.46648 Ry/atom. Its space group is C2/m (12).

abc: 3.723 7.566 9.263
angles: 109.26 90.00 104.24
Element x y z (fractional)
1 Se 0.027 0.054 0.790
2 Se 0.306 0.612 0.866
3 Se 0.372 0.743 0.476
4 Se 0.973 0.946 0.210
5 Se 0.694 0.388 0.134
6 Se 0.628 0.257 0.524
7 Zr 0.666 0.332 0.828
8 Zr 0.334 0.668 0.172
9 Ti 0.000 0.000 0.500


The following is a DFT calculation (PBE) of crystalline NdDyFe10 at its relaxed geometry.

Computed properties:
As for the energy of formation from the pure elements: -3 meV/atom. The density of states at the Fermi level comes out at 12.70 states/eV/f.u. The magnetization comes out at 19.96 μB per formula unit. For the total DFT energy (no corrections), the calculation gives -0.57596 Ry/atom. Its space group is Pmmm (47).

abc: 3.948 5.058 8.734
angles: 90.00 90.00 90.00
Each line ends with the local moment (μB).
Element x y z (fractional)
1 Fe 0.500 0.748 0.746  2.11
2 Fe 0.500 0.252 0.746  2.11
3 Fe 0.500 0.252 0.254  2.11
4 Fe 0.000 0.000 0.663  2.12
5 Fe 0.000 0.500 0.170  2.14
6 Fe 0.500 0.500 0.000  2.18
7 Fe 0.000 0.000 0.337  2.12
8 Fe 0.500 0.748 0.254  2.11
9 Fe 0.000 0.500 0.830  2.14
10 Fe 0.500 0.000 0.500  1.97
11 Nd 0.000 0.000 0.000  -0.26
12 Dy 0.000 0.500 0.500  -0.41


The following is a DFT calculation (PBE) of crystalline Sm3AlGa2Cu6 at its relaxed geometry.

Computed properties:
As for the energy of formation from the pure elements: -188 meV/atom. The density of states at the Fermi level comes out at 4.54 states/eV/f.u. The magnetization comes out at 0.00 μB per formula unit. For the total DFT energy (no corrections), the calculation gives -0.31105 Ry/atom. Its space group is P-3m1 (164).

abc: 5.549 5.549 8.457
angles: 90.00 90.00 120.00
Element x y z (fractional)
1 Cu 0.179 0.821 0.276
2 Cu 0.821 0.642 0.724
3 Cu 0.358 0.179 0.724
4 Cu 0.179 0.358 0.276
5 Cu 0.642 0.821 0.276
6 Cu 0.821 0.179 0.724
7 Ga 0.667 0.333 0.979
8 Ga 0.333 0.667 0.021
9 Sm 0.667 0.333 0.381
10 Sm 0.000 0.000 0.000
11 Sm 0.333 0.667 0.619
12 Al 0.000 0.000 0.500


The following is a DFT calculation (PBE) of crystalline NaPr2SmTe4 at its relaxed geometry.

Computed properties:
For the energy relative to the elements, uncorrected, the calculation gives -11.1 eV/f.u. The density of states at the Fermi level comes out at 3.36 states/eV/f.u. The magnetization comes out at 0.00 μB per formula unit. For the total DFT energy (no corrections), the calculation gives -0.36043 Ry/atom. Its space group is P2/m (10).

abc: 4.485 7.825 7.831
angles: 70.92 90.00 90.00
Element x y z (fractional)
1 Te 0.500 0.745 0.251
2 Te 0.000 0.743 0.751
3 Te 0.000 0.257 0.249
4 Te 0.500 0.255 0.749
5 Pr 0.500 0.000 0.500
6 Pr 0.000 0.000 0.000
7 Na 0.000 0.500 0.500
8 Sm 0.500 0.500 0.000


The following is a DFT calculation (PBE) of crystalline KPuCl5 at its relaxed geometry.

Computed properties:
For the energy relative to the elements, uncorrected, the calculation gives -12.4 eV/f.u. The density of states at the Fermi level comes out at 11.59 states/eV/f.u. The magnetization comes out at 4.00 μB per formula unit. For the total DFT energy (no corrections), the calculation gives -0.38864 Ry/atom. Its space group is C2/c (15).

abc: 7.559 7.559 10.618
angles: 70.23 70.23 69.36
Each line ends with the local moment (μB).
Element x y z (fractional)
1 Cl 0.764 0.342 0.008  -0.07
2 Cl 0.236 0.658 0.992  -0.07
3 Cl 0.288 0.146 0.884  -0.08
4 Cl 0.146 0.288 0.384  -0.08
5 Cl 0.658 0.236 0.492  -0.07
6 Cl 0.935 0.065 0.750  -0.05
7 Cl 0.342 0.764 0.508  -0.07
8 Cl 0.712 0.854 0.116  -0.08
9 Cl 0.065 0.935 0.250  -0.05
10 Cl 0.854 0.712 0.616  -0.08
11 Pu 0.000 0.000 0.500  4.36
12 Pu 0.000 0.000 0.000  4.36
13 K 0.542 0.458 0.750  0.00
14 K 0.458 0.542 0.250  0.00


The following is a DFT calculation (PBE) of crystalline Li4Zr3TiS8 at its relaxed geometry.

Computed properties:
For the energy relative to the elements, uncorrected, the calculation gives -23.9 eV/f.u. The density of states at the Fermi level comes out at 6.98 states/eV/f.u. The magnetization comes out at 0.54 μB per formula unit. For the total DFT energy (no corrections), the calculation gives -0.45083 Ry/atom. Its space group is R-3m (166).

abc: 7.164 7.509 7.164
angles: 118.50 120.00 90.00
Each line ends with the local moment (μB).
Element x y z (fractional)
1 Li 0.000 0.000 0.500  0.00
2 Li 0.500 0.000 0.500  0.00
3 Li 0.000 0.000 0.000  0.00
4 Li 0.500 0.000 0.000  0.00
5 S 0.756 0.254 0.512  0.00
6 S 0.249 0.247 0.498  0.00
7 S 0.758 0.746 0.002  0.00
8 S 0.751 0.753 0.502  0.00
9 S 0.244 0.746 0.002  0.00
10 S 0.756 0.254 0.998  0.00
11 S 0.242 0.254 0.998  0.00
12 S 0.244 0.746 0.488  0.00
13 Zr 0.000 0.500 0.500  -0.01
14 Zr 0.500 0.500 0.000  -0.01
15 Zr 0.500 0.500 0.500  -0.01
16 Ti 0.000 0.500 0.000  0.49


The following is a DFT calculation (PBE) of crystalline La5Sm2Er4 at its relaxed geometry.

Computed properties:
As for the energy of formation from the pure elements: 77 meV/atom. The density of states at the Fermi level comes out at 16.01 states/eV/f.u. As for the offset from the most stable computed form: 0 meV per atom. The magnetization comes out at 0.00 μB per formula unit. For the total DFT energy (no corrections), the calculation gives -0.34399 Ry/atom. Its space group is C2/m (12).

abc: 3.569 11.767 9.129
angles: 93.76 101.27 90.00
Element x y z (fractional)
1 Er 0.640 0.798 0.279
2 Er 0.360 0.202 0.721
3 Er 0.967 0.740 0.934
4 Er 0.033 0.260 0.066
5 Sm 0.283 0.651 0.567
6 Sm 0.717 0.349 0.433
7 La 0.176 0.072 0.352
8 La 0.096 0.533 0.192
9 La 0.500 0.000 0.000
10 La 0.904 0.467 0.808
11 La 0.824 0.928 0.648


The following is a DFT calculation (PBE) of crystalline Ba2PtRh at its relaxed geometry.

Computed properties:
As for the energy of formation from the pure elements: -321 meV/atom. The density of states at the Fermi level comes out at 3.07 states/eV/f.u. The magnetization comes out at 0.00 μB per formula unit. For the total DFT energy (no corrections), the calculation gives -0.34036 Ry/atom. Its space group is Imm2 (44).

abc: 8.178 8.178 8.178
angles: 148.08 146.94 46.62
Element x y z (fractional)
1 Ba 0.487 0.987 0.500
2 Ba 0.757 0.757 0.000
3 Rh 0.344 0.344 0.000
4 Pt 0.906 0.406 0.500


The following is a DFT calculation (PBE) of crystalline SrDyS2F at its relaxed geometry.

Computed properties:
For the energy relative to the elements, uncorrected, the calculation gives -13.0 eV/f.u. The density of states at the Fermi level comes out at 1.24 states/eV/f.u. The magnetization comes out at 0.00 μB per formula unit. For the total DFT energy (no corrections), the calculation gives -0.43179 Ry/atom. Its space group is P4/nmm (129).

abc: 3.979 3.979 14.100
angles: 90.00 90.00 90.00
Element x y z (fractional)
1 S 0.500 0.000 0.910
2 S 0.500 0.000 0.296
3 S 0.000 0.500 0.704
4 S 0.000 0.500 0.090
5 Dy 0.000 0.500 0.880
6 Dy 0.500 0.000 0.120
7 F 0.000 0.000 0.500
8 F 0.500 0.500 0.500
9 Sr 0.500 0.000 0.606
10 Sr 0.000 0.500 0.394


The following is a DFT calculation (PBE) of crystalline TmCuIr at its relaxed geometry.

Computed properties:
As for the energy of formation from the pure elements: -622 meV/atom. The density of states at the Fermi level comes out at 1.72 states/eV/f.u. As for the offset from the most stable computed form: 0 meV per atom. The magnetization comes out at 0.00 μB per formula unit. For the total DFT energy (no corrections), the calculation gives -0.47270 Ry/atom. Its space group is Imma (74).

abc: 4.933 5.253 5.253
angles: 63.57 61.99 61.99
Element x y z (fractional)
1 Tm 0.877 0.373 0.373
2 Tm 0.123 0.627 0.627
3 Cu 0.000 0.000 0.000
4 Cu 0.500 0.000 0.000
5 Ir 0.500 0.500 0.000
6 Ir 0.500 0.000 0.500


The following is a DFT calculation (PBE) of crystalline Ag2HgAuCl6 at its relaxed geometry.

Computed properties:
For the energy relative to the elements, uncorrected, the calculation gives -4.0 eV/f.u. The density of states at the Fermi level comes out at 1.47 states/eV/f.u. The magnetization comes out at 1.05 μB per formula unit. For the total DFT energy (no corrections), the calculation gives -0.17900 Ry/atom. Its space group is P1 (1).

abc: 7.163 7.915 8.387
angles: 55.11 51.95 52.80
Each line ends with the local moment (μB).
Element x y z (fractional)
1 Cl 0.431 0.758 0.791  0.09
2 Cl 0.080 0.468 0.741  0.12
3 Cl 0.919 0.536 0.262  0.01
4 Cl 0.212 0.890 0.270  0.09
5 Cl 0.611 0.164 0.288  0.13
6 Cl 0.710 0.132 0.807  0.02
7 Ag 0.535 0.471 0.374  0.01
8 Ag 0.032 0.091 0.914  0.03
9 Au 0.823 0.821 0.534  0.41
10 Hg 0.309 0.331 0.034  0.01


The following is a DFT calculation (PBE) of crystalline AlRuPb2 at its relaxed geometry.

Computed properties:
As for the energy of formation from the pure elements: 383 meV/atom. The density of states at the Fermi level comes out at 2.07 states/eV/f.u. The magnetization comes out at 0.00 μB per formula unit. For the total DFT energy (no corrections), the calculation gives -0.34731 Ry/atom. Its space group is P2/m (10).

abc: 3.314 3.300 8.815
angles: 67.42 90.00 90.00
Element x y z (fractional)
1 Pb 0.000 0.966 0.038
2 Pb 0.000 0.534 0.462
3 Al 0.500 0.750 0.750
4 Ru 0.500 0.250 0.250


The following is a DFT calculation (PBE) of crystalline MnCr2P at its relaxed geometry.

Computed properties:
As for the energy of formation from the pure elements: -157 meV/atom. The density of states at the Fermi level comes out at 3.63 states/eV/f.u. The magnetization comes out at 0.08 μB per formula unit. For the total DFT energy (no corrections), the calculation gives -0.63310 Ry/atom. Its space group is Pmmm (47).

abc: 2.885 3.822 4.004
angles: 90.00 90.00 90.00
Each line ends with the local moment (μB).
Element x y z (fractional)
1 Cr 0.500 0.500 0.000  -0.59
2 Cr 0.000 0.000 0.000  0.72
3 P 0.000 0.500 0.500  0.02
4 Mn 0.500 0.000 0.500  -0.09


The following is a DFT calculation (PBE) of crystalline AlTeAs2Ir at its relaxed geometry.

Computed properties:
For the energy relative to the elements, uncorrected, the calculation gives 1.1 eV/f.u. The density of states at the Fermi level comes out at 2.88 states/eV/f.u. The magnetization comes out at 0.00 μB per formula unit. For the total DFT energy (no corrections), the calculation gives -0.35266 Ry/atom. Its space group is P4/mmm (123).

abc: 4.878 4.838 4.878
angles: 90.00 90.00 90.00
Element x y z (fractional)
1 As 0.500 0.000 0.000
2 As 0.000 0.000 0.500
3 Al 0.000 0.500 0.000
4 Ir 0.000 0.000 0.000
5 Te 0.500 0.500 0.500


The following is a DFT calculation (PBE) of crystalline MgVSN2 at its relaxed geometry.

Computed properties:
For the energy relative to the elements, uncorrected, the calculation gives -1.1 eV/f.u. The density of states at the Fermi level comes out at 1.32 states/eV/f.u. As for the offset from the most stable computed form: 0 meV per atom. The magnetization comes out at 0.43 μB per formula unit. For the total DFT energy (no corrections), the calculation gives -0.47922 Ry/atom. Its space group is P4/mmm (123).

abc: 3.722 3.722 5.062
angles: 90.00 90.00 90.00
Each line ends with the local moment (μB).
Element x y z (fractional)
1 Mg 0.500 0.500 0.500  0.00
2 S 0.000 0.000 0.500  0.01
3 N 0.500 0.000 0.000  0.22
4 N 0.000 0.500 0.000  0.22
5 V 0.000 0.000 0.000  -0.17


The following is a DFT calculation (PBE) of crystalline Tl2BiO3 at its relaxed geometry.

Computed properties:
For the energy relative to the elements, uncorrected, the calculation gives -4.3 eV/f.u. The density of states at the Fermi level comes out at 2.73 states/eV/f.u. The magnetization comes out at 0.00 μB per formula unit. For the total DFT energy (no corrections), the calculation gives -0.34048 Ry/atom. Its space group is Cmc2_1 (36).

abc: 6.458 6.588 6.588
angles: 110.54 90.00 90.00
Element x y z (fractional)
1 Bi 0.287 0.091 0.091
2 Bi 0.787 0.909 0.909
3 O 0.344 0.371 0.371
4 O 0.528 0.855 0.116
5 O 0.528 0.116 0.855
6 O 0.028 0.884 0.145
7 O 0.844 0.629 0.629
8 O 0.028 0.145 0.884
9 Tl 0.190 0.457 0.777
10 Tl 0.690 0.223 0.543
11 Tl 0.190 0.777 0.457
12 Tl 0.690 0.543 0.223